<i>
Compound: ScAsPt3
Source: Alexandria
Functional: PBE-GGA
Structure: optimized geometry

As for the mass density: 11.43 g/cm³. Its volume is 20.5 Å³/atom. The value obtained for the total magnetization is 0.000 μB/cell.

The structure belongs to space group Pm-3m (No. 221); the cell edges are 4.6785, 4.6785 and 4.6785 Å and the angles 90.00°, 90.00° and 90.00°. The inequivalent atoms are Sc at (0.0000, 0.0000, 0.0000), As at (0.5000, 0.5000, 0.5000) and Pt at (0.0000, 0.5000, 0.5000).

=====

<ii>
Compound: ScAsPt3
Source: Alexandria
Functional: PBE-GGA
Structure: optimized geometry

As for the mass density: 10.57 g/cm³. Its volume is 22.2 Å³/atom. The value obtained for the total magnetization is 0.000 μB/cell.

The structure belongs to space group Pm-3m (No. 221); the cell edges are 4.8029, 4.8029 and 4.8029 Å and the angles 90.00°, 90.00° and 90.00°. The inequivalent atoms are Sc at (0.0000, 0.0000, 0.0000), As at (0.5000, 0.5000, 0.5000) and Pt at (0.0000, 0.0000, 0.5000).

=====

It comes down to <i>, which is 0.840 eV/atom more stable than the next structure.

=====

<i>
Compound: ScAs2PtSe
Source: Alexandria
Functional: PBE-GGA
Structure: optimized geometry

As for the mass density: 6.21 g/cm³. Its volume is 25.1 Å³/atom. The value obtained for the total magnetization is 0.000 μB/cell.

The structure belongs to space group P4/mmm (No. 123); the cell edges are 5.0420, 5.0420 and 4.9349 Å and the angles 90.00°, 90.00° and 90.00°. The inequivalent atoms are Sc at (0.0000, 0.0000, 0.0000), As at (0.0000, 0.5000, 0.0000), Pt at (0.5000, 0.5000, 0.5000) and Se at (0.0000, 0.0000, 0.5000).

=====

<ii>
Compound: ScAs2PtSe
Source: Alexandria
Functional: PBE-GGA
Structure: optimized geometry

As for the mass density: 6.50 g/cm³. Its volume is 23.9 Å³/atom. The value obtained for the total magnetization is 0.000 μB/cell.

The structure belongs to space group P4/mmm (No. 123); the cell edges are 4.8288, 4.8288 and 5.1339 Å and the angles 90.00°, 90.00° and 90.00°. The inequivalent atoms are Sc at (0.0000, 0.0000, 0.0000), As at (0.0000, 0.5000, 0.5000), Pt at (0.5000, 0.5000, 0.5000) and Se at (0.5000, 0.5000, 0.0000).

=====

It comes down to <ii>, which is 0.412 eV/atom more stable than the next structure.

=====

<i>
Compound: ScAsPtSe2
Source: Alexandria
Functional: PBE-GGA
Structure: optimized geometry

As for the mass density: 6.48 g/cm³. Its volume is 24.2 Å³/atom. The value obtained for the total magnetization is 0.000 μB/cell.

The structure belongs to space group P4/mmm (No. 123); the cell edges are 5.0690, 5.0690 and 4.7185 Å and the angles 90.00°, 90.00° and 90.00°. The inequivalent atoms are Sc at (0.0000, 0.0000, 0.0000), As at (0.5000, 0.5000, 0.0000), Pt at (0.5000, 0.5000, 0.5000) and Se at (0.0000, 0.5000, 0.5000).

=====

<ii>
Compound: ScAsPtSe2
Source: Alexandria
Functional: PBE-GGA
Structure: optimized geometry

As for the mass density: 6.16 g/cm³. Its volume is 25.5 Å³/atom. The value obtained for the total magnetization is 0.000 μB/cell.

The structure belongs to space group P4/mmm (No. 123); the cell edges are 4.9866, 4.9866 and 5.1243 Å and the angles 90.00°, 90.00° and 90.00°. The inequivalent atoms are Sc at (0.0000, 0.0000, 0.0000), As at (0.0000, 0.0000, 0.5000), Pt at (0.5000, 0.5000, 0.5000) and Se at (0.0000, 0.5000, 0.0000).

=====

It comes down to <i>, which is 0.393 eV/atom more stable than the next structure.

=====

<i>
Compound: As3PtSe
Source: Alexandria
Functional: PBE-GGA
Structure: optimized geometry

As for the mass density: 7.07 g/cm³. Its volume is 23.4 Å³/atom. The value obtained for the total magnetization is 0.000 μB/cell.

The structure belongs to space group Pm-3m (No. 221); the cell edges are 4.8924, 4.8924 and 4.8924 Å and the angles 90.00°, 90.00° and 90.00°. The inequivalent atoms are As at (0.0000, 0.0000, 0.5000), Pt at (0.5000, 0.5000, 0.5000) and Se at (0.0000, 0.0000, 0.0000).

=====

<ii>
Compound: As3PtSe
Source: Alexandria
Functional: PBE-GGA
Structure: optimized geometry

As for the mass density: 6.94 g/cm³. Its volume is 23.9 Å³/atom. The value obtained for the total magnetization is 0.000 μB/cell.

The structure belongs to space group Pm-3m (No. 221); the cell edges are 4.9227, 4.9227 and 4.9227 Å and the angles 90.00°, 90.00° and 90.00°. The inequivalent atoms are As at (0.0000, 0.0000, 0.5000), Pt at (0.0000, 0.0000, 0.0000) and Se at (0.5000, 0.5000, 0.5000).

=====

It comes down to <ii>, which is 0.498 eV/atom more stable than the next structure.

=====

<i>
Compound: SiAsPtSe2
Source: Alexandria
Functional: PBE-GGA
Structure: optimized geometry

As for the mass density: 6.13 g/cm³. Its volume is 24.7 Å³/atom. The value obtained for the total magnetization is 0.000 μB/cell.

The structure belongs to space group P4/mmm (No. 123); the cell edges are 5.1717, 5.1717 and 4.6202 Å and the angles 90.00°, 90.00° and 90.00°. The inequivalent atoms are Si at (0.0000, 0.0000, 0.0000), As at (0.5000, 0.5000, 0.0000), Pt at (0.5000, 0.5000, 0.5000) and Se at (0.0000, 0.5000, 0.5000).

=====

<ii>
Compound: SiAsPtSe2
Source: Alexandria
Functional: PBE-GGA
Structure: optimized geometry

As for the mass density: 7.27 g/cm³. Its volume is 20.8 Å³/atom. The value obtained for the total magnetization is 0.000 μB/cell.

The structure belongs to space group P4/mmm (No. 123); the cell edges are 4.6755, 4.6755 and 4.7644 Å and the angles 90.00°, 90.00° and 90.00°. The inequivalent atoms are Si at (0.0000, 0.0000, 0.0000), As at (0.0000, 0.0000, 0.5000), Pt at (0.5000, 0.5000, 0.5000) and Se at (0.0000, 0.5000, 0.0000).

=====

It comes down to <i>, which is 0.101 eV/atom more stable than the next structure.

=====

<i>
Compound: SiAs2PtSe
Source: Alexandria
Functional: PBE-GGA
Structure: optimized geometry

As for the mass density: 7.37 g/cm³. Its volume is 20.4 Å³/atom. The value obtained for the total magnetization is 0.000 μB/cell.

The structure belongs to space group P4/mmm (No. 123); the cell edges are 4.6925, 4.6925 and 4.6258 Å and the angles 90.00°, 90.00° and 90.00°. The inequivalent atoms are Si at (0.0000, 0.0000, 0.0000), As at (0.0000, 0.5000, 0.0000), Pt at (0.5000, 0.5000, 0.5000) and Se at (0.0000, 0.0000, 0.5000).

=====

<ii>
Compound: SiAs2PtSe
Source: Alexandria
Functional: PBE-GGA
Structure: optimized geometry

As for the mass density: 6.45 g/cm³. Its volume is 23.3 Å³/atom. The value obtained for the total magnetization is 0.000 μB/cell.

The structure belongs to space group P4/mmm (No. 123); the cell edges are 5.0661, 5.0661 and 4.5336 Å and the angles 90.00°, 90.00° and 90.00°. The inequivalent atoms are Si at (0.0000, 0.0000, 0.0000), As at (0.0000, 0.5000, 0.5000), Pt at (0.0000, 0.0000, 0.5000) and Se at (0.5000, 0.5000, 0.0000).

=====

It comes down to <ii>, which is 0.256 eV/atom more stable than the next structure.

=====

<i>
Compound: SiAs2PtSe
Source: Alexandria
Functional: PBE-GGA
Structure: optimized geometry

As for the mass density: 6.72 g/cm³. Its volume is 22.3 Å³/atom. The value obtained for the total magnetization is 0.000 μB/cell.

The structure belongs to space group P4/mmm (No. 123); the cell edges are 4.9226, 4.9226 and 4.6113 Å and the angles 90.00°, 90.00° and 90.00°. The inequivalent atoms are Si at (0.0000, 0.0000, 0.0000), As at (0.0000, 0.5000, 0.5000), Pt at (0.5000, 0.5000, 0.0000) and Se at (0.0000, 0.0000, 0.5000).

=====

<ii>
Compound: SiAs2PtSe
Source: Alexandria
Functional: PBE-GGA
Structure: optimized geometry

As for the mass density: 6.20 g/cm³. Its volume is 24.2 Å³/atom. The value obtained for the total magnetization is 0.000 μB/cell.

The structure belongs to space group P4/mmm (No. 123); the cell edges are 4.8036, 4.8036 and 5.2424 Å and the angles 90.00°, 90.00° and 90.00°. The inequivalent atoms are Si at (0.0000, 0.0000, 0.0000), As at (0.0000, 0.5000, 0.5000), Pt at (0.5000, 0.5000, 0.5000) and Se at (0.5000, 0.5000, 0.0000).

=====

It comes down to <ii>, which is 0.368 eV/atom more stable than the next structure.

=====

<i>
Compound: SnAsPtSe2
Source: Alexandria
Functional: PBE-GGA
Structure: optimized geometry

As for the mass density: 7.05 g/cm³. Its volume is 25.7 Å³/atom. The value obtained for the total magnetization is 0.000 μB/cell.

The structure belongs to space group P4/mmm (No. 123); the cell edges are 5.2900, 5.2900 and 4.5982 Å and the angles 90.00°, 90.00° and 90.00°. The inequivalent atoms are Sn at (0.0000, 0.0000, 0.0000), As at (0.5000, 0.5000, 0.0000), Pt at (0.5000, 0.5000, 0.5000) and Se at (0.0000, 0.5000, 0.5000).

=====

<ii>
Compound: SnAsPtSe2
Source: Alexandria
Functional: PBE-GGA
Structure: optimized geometry

As for the mass density: 6.52 g/cm³. Its volume is 27.8 Å³/atom. The value obtained for the total magnetization is 0.000 μB/cell.

The structure belongs to space group P4/mmm (No. 123); the cell edges are 5.1472, 5.1472 and 5.2508 Å and the angles 90.00°, 90.00° and 90.00°. The inequivalent atoms are Sn at (0.0000, 0.0000, 0.0000), As at (0.0000, 0.0000, 0.5000), Pt at (0.5000, 0.5000, 0.5000) and Se at (0.0000, 0.5000, 0.0000).

=====

It comes down to <i>, which is 0.908 eV/atom more stable than the next structure.

=====

<i>
Compound: SrAs2PtSe
Source: Alexandria
Functional: PBE-GGA
Structure: optimized geometry

As for the mass density: 6.51 g/cm³. Its volume is 26.1 Å³/atom. The value obtained for the total magnetization is 0.000 μB/cell.

The structure belongs to space group P4/mmm (No. 123); the cell edges are 4.8742, 4.8742 and 5.4889 Å and the angles 90.00°, 90.00° and 90.00°. The inequivalent atoms are Sr at (0.0000, 0.0000, 0.0000), As at (0.0000, 0.5000, 0.5000), Pt at (0.5000, 0.5000, 0.5000) and Se at (0.5000, 0.5000, 0.0000).

=====

<ii>
Compound: SrAs2PtSe
Source: Alexandria
Functional: PBE-GGA
Structure: optimized geometry

As for the mass density: 4.95 g/cm³. Its volume is 34.3 Å³/atom. The value obtained for the total magnetization is 0.000 μB/cell.

The structure belongs to space group P4/mmm (No. 123); the cell edges are 5.5905, 5.5905 and 5.4908 Å and the angles 90.00°, 90.00° and 90.00°. The inequivalent atoms are Sr at (0.0000, 0.0000, 0.0000), As at (0.0000, 0.5000, 0.0000), Pt at (0.5000, 0.5000, 0.5000) and Se at (0.0000, 0.0000, 0.5000).

=====

It comes down to <i>, which is 1.669 eV/atom more stable than the next structure.

=====

<i>
Compound: TaAsPtSe2
Source: Alexandria
Functional: PBE-GGA
Structure: optimized geometry

As for the mass density: 8.91 g/cm³. Its volume is 22.7 Å³/atom. The value obtained for the total magnetization is 0.000 μB/cell.

The structure belongs to space group P4/mmm (No. 123); the cell edges are 4.8796, 4.8796 and 4.7659 Å and the angles 90.00°, 90.00° and 90.00°. The inequivalent atoms are Ta at (0.0000, 0.0000, 0.0000), As at (0.5000, 0.5000, 0.0000), Pt at (0.5000, 0.5000, 0.5000) and Se at (0.0000, 0.5000, 0.5000).

=====

<ii>
Compound: TaAsPtSe2
Source: Alexandria
Functional: PBE-GGA
Structure: optimized geometry

As for the mass density: 8.31 g/cm³. Its volume is 24.3 Å³/atom. The value obtained for the total magnetization is 0.000 μB/cell.

The structure belongs to space group P4/mmm (No. 123); the cell edges are 4.9127, 4.9127 and 5.0397 Å and the angles 90.00°, 90.00° and 90.00°. The inequivalent atoms are Ta at (0.0000, 0.0000, 0.0000), As at (0.0000, 0.0000, 0.5000), Pt at (0.5000, 0.5000, 0.5000) and Se at (0.0000, 0.5000, 0.0000).

=====

It comes down to <ii>, which is 0.360 eV/atom more stable than the next structure.

=====

<i>
Compound: ZnAsPtSe2
Source: Alexandria
Functional: PBE-GGA
Structure: optimized geometry

As for the mass density: 6.50 g/cm³. Its volume is 25.2 Å³/atom. The value obtained for the total magnetization is 0.000 μB/cell.

The structure belongs to space group P4/mmm (No. 123); the cell edges are 5.2157, 5.2157 and 4.6341 Å and the angles 90.00°, 90.00° and 90.00°. The inequivalent atoms are Zn at (0.0000, 0.0000, 0.0000), As at (0.5000, 0.5000, 0.0000), Pt at (0.5000, 0.5000, 0.5000) and Se at (0.0000, 0.5000, 0.5000).

=====

<ii>
Compound: ZnAsPtSe2
Source: Alexandria
Functional: PBE-GGA
Structure: optimized geometry

As for the mass density: 7.49 g/cm³. Its volume is 21.9 Å³/atom. The value obtained for the total magnetization is 0.000 μB/cell.

The structure belongs to space group P4/mmm (No. 123); the cell edges are 4.8157, 4.8157 and 4.7154 Å and the angles 90.00°, 90.00° and 90.00°. The inequivalent atoms are Zn at (0.0000, 0.0000, 0.0000), As at (0.0000, 0.0000, 0.5000), Pt at (0.5000, 0.5000, 0.5000) and Se at (0.0000, 0.5000, 0.0000).

=====

It comes down to <i>, which is 0.398 eV/atom more stable than the next structure.

=====

<i>
Compound: Sm2AsPt
Source: Alexandria
Functional: PBE-GGA
Structure: optimized geometry

As for the mass density: 9.38 g/cm³. Its volume is 25.3 Å³/atom. The value obtained for the total magnetization is 0.000 μB/cell.

The structure belongs to space group Cmcm (No. 63); the cell edges are 4.0669, 23.2490 and 4.2739 Å and the angles 90.00°, 90.00° and 90.00°. The inequivalent atoms are Sm at (0.0000, 0.0642, 0.2500), Sm at (0.0000, 0.3161, 0.2500), As at (0.0000, 0.1887, 0.2500) and Pt at (0.0000, 0.4571, 0.2500).

=====

<ii>
Compound: Sm2AsPt
Source: Alexandria
Functional: PBE-GGA
Structure: optimized geometry

As for the mass density: 9.07 g/cm³. Its volume is 26.1 Å³/atom. The value obtained for the total magnetization is 0.000 μB/cell.

The structure belongs to space group R-3m (No. 166, hexagonal axes); the cell edges are 4.1641, 4.1641 and 20.8852 Å and the angles 90.00°, 90.00° and 120.00°. The inequivalent atoms are Sm at (0.0000, 0.0000, 0.2491), As at (0.0000, 0.0000, 0.0000) and Pt at (0.0000, 0.0000, 0.5000).

=====

It comes down to <i>, which is 0.081 eV/atom more stable than the next structure.